Entry 1:
# PBE-GGA CaAgBiTe3, optimized geometry
# - Energy: -43.683 eV for the cell shown
# - Magnetic moment: 0.000 μB/f.u.
# - Space-group type: P2_1/m (11)
# - Raw formation energy: -0.614 eV/atom
data_CaAgBiTe3
_chemical_formula_sum 'Ca2 Ag2 Bi2 Te6'
_space_group_name_H-M_alt 'P 1'
_space_group_IT_number 1
_cell_length_a 8.893
_cell_length_b 4.406
_cell_length_c 9.868
_cell_angle_alpha 90.00
_cell_angle_beta 100.63
_cell_angle_gamma 90.00
loop_
_space_group_symop_operation_xyz
'x,y,z'
loop_
_atom_site_label
_atom_site_type_symbol
_atom_site_fract_x
_atom_site_fract_y
_atom_site_fract_z
_atom_site_occupancy
Ca1 Ca 0.173 0.250 0.260 1
Ca2 Ca 0.827 0.750 0.740 1
Ag1 Ag 0.076 0.250 0.582 1
Ag2 Ag 0.924 0.750 0.418 1
Bi1 Bi 0.332 0.750 0.839 1
Bi2 Bi 0.668 0.250 0.161 1
Te1 Te 0.092 0.250 0.880 1
Te2 Te 0.259 0.750 0.506 1
Te3 Te 0.409 0.750 0.158 1
Te4 Te 0.591 0.250 0.842 1
Te5 Te 0.741 0.250 0.494 1
Te6 Te 0.908 0.750 0.120 1



Entry 2:
# PBE-GGA BaGe2RhS8, optimized geometry
# - Fermi-level density of states: 12.19 states/eV/f.u.
# - Energy: -56.633 eV for the cell shown
# - Magnetic moment: 1.626 μB/f.u.
# - Space-group type: P-3 (147)
# - Raw formation energy: -0.425 eV/atom
data_BaGe2RhS8
_chemical_formula_sum 'Ba1 Ge2 Rh1 S8'
_space_group_name_H-M_alt 'P 1'
_space_group_IT_number 1
_cell_length_a 5.857
_cell_length_b 5.857
_cell_length_c 9.049
_cell_angle_alpha 90.00
_cell_angle_beta 90.00
_cell_angle_gamma 120.00
loop_
_space_group_symop_operation_xyz
'x,y,z'
loop_
_atom_site_label
_atom_site_type_symbol
_atom_site_fract_x
_atom_site_fract_y
_atom_site_fract_z
_atom_site_occupancy
Ba1 Ba 0.000 0.000 0.000 1
Ge1 Ge 0.333 0.667 0.721 1
Ge2 Ge 0.667 0.333 0.279 1
Rh1 Rh 0.000 0.000 0.500 1
S1 S 0.045 0.708 0.338 1
S2 S 0.292 0.337 0.338 1
S3 S 0.333 0.667 0.966 1
S4 S 0.337 0.045 0.662 1
S5 S 0.663 0.955 0.338 1
S6 S 0.667 0.333 0.034 1
S7 S 0.708 0.663 0.662 1
S8 S 0.955 0.292 0.662 1



Entry 3:
# PBE-GGA Pm4RhBr5, optimized geometry
# - Fermi-level density of states: 6.07 states/eV/f.u.
# - Energy: -49.252 eV for the cell shown
# - Magnetic moment: 0.002 μB/f.u.
# - Space-group type: C2/m (12)
# - Raw formation energy: -1.453 eV/atom
data_Pm4RhBr5
_chemical_formula_sum 'Pm4 Rh1 Br5'
_space_group_name_H-M_alt 'P 1'
_space_group_IT_number 1
_cell_length_a 9.757
_cell_length_b 9.757
_cell_length_c 8.758
_cell_angle_alpha 103.42
_cell_angle_beta 103.42
_cell_angle_gamma 23.93
loop_
_space_group_symop_operation_xyz
'x,y,z'
loop_
_atom_site_label
_atom_site_type_symbol
_atom_site_fract_x
_atom_site_fract_y
_atom_site_fract_z
_atom_site_occupancy
Pm1 Pm 0.000 0.000 0.217 1
Pm2 Pm 0.000 0.000 0.783 1
Pm3 Pm 0.348 0.348 0.912 1
Pm4 Pm 0.652 0.652 0.088 1
Rh1 Rh 0.500 0.500 0.000 1
Br1 Br 0.167 0.167 0.344 1
Br2 Br 0.175 0.175 0.843 1
Br3 Br 0.500 0.500 0.500 1
Br4 Br 0.825 0.825 0.157 1
Br5 Br 0.833 0.833 0.656 1



Entry 4:
# PBE-GGA WSeCl2, optimized geometry
# - Energy relative to the lowest polymorph listed for this composition: 6.117 eV/f.u.
# - Fermi-level density of states: 3.99 states/eV/f.u.
# - Energy: -31.623 eV for the cell shown
# - Magnetic moment: 1.038 μB/f.u.
# - Space-group type: Cmmm (65)
# - Raw formation energy: 1.080 eV/atom
data_WSeCl2
_chemical_formula_sum 'W2 Se2 Cl4'
_space_group_name_H-M_alt 'P 1'
_space_group_IT_number 1
_cell_length_a 5.773
_cell_length_b 8.657
_cell_length_c 2.925
_cell_angle_alpha 90.00
_cell_angle_beta 90.00
_cell_angle_gamma 90.00
loop_
_space_group_symop_operation_xyz
'x,y,z'
loop_
_atom_site_label
_atom_site_type_symbol
_atom_site_fract_x
_atom_site_fract_y
_atom_site_fract_z
_atom_site_occupancy
W1 W 0.000 0.000 0.000 1
W2 W 0.500 0.500 0.000 1
Se1 Se 0.000 0.500 0.000 1
Se2 Se 0.500 0.000 0.000 1
Cl1 Cl 0.250 0.250 0.500 1
Cl2 Cl 0.250 0.750 0.500 1
Cl3 Cl 0.750 0.250 0.500 1
Cl4 Cl 0.750 0.750 0.500 1



Entry 5:
# PBE-GGA NpIn2Br3Cl3, optimized geometry
# - Fermi-level density of states: 10.13 states/eV/f.u.
# - Energy: -38.852 eV for the cell shown
# - Magnetic moment: 3.093 μB/f.u.
# - Space-group type: P-62m (189)
# - Raw formation energy: -1.097 eV/atom
data_NpIn2Br3Cl3
_chemical_formula_sum 'Np1 In2 Br3 Cl3'
_space_group_name_H-M_alt 'P 1'
_space_group_IT_number 1
_cell_length_a 8.162
_cell_length_b 8.162
_cell_length_c 4.249
_cell_angle_alpha 90.00
_cell_angle_beta 90.00
_cell_angle_gamma 120.00
loop_
_space_group_symop_operation_xyz
'x,y,z'
loop_
_atom_site_label
_atom_site_type_symbol
_atom_site_fract_x
_atom_site_fract_y
_atom_site_fract_z
_atom_site_occupancy
Np1 Np 0.000 0.000 0.000 1
In1 In 0.333 0.667 0.500 1
In2 In 0.667 0.333 0.500 1
Br1 Br 0.000 0.380 0.000 1
Br2 Br 0.380 0.000 0.000 1
Br3 Br 0.620 0.620 0.000 1
Cl1 Cl 0.000 0.769 0.500 1
Cl2 Cl 0.231 0.231 0.500 1
Cl3 Cl 0.769 0.000 0.500 1



Entry 6:
# PBE-GGA NbVSb2, optimized geometry
# - Energy relative to the lowest polymorph listed for this composition: 1.588 eV/f.u.
# - Fermi-level density of states: 5.14 states/eV/f.u.
# - Energy: -102.142 eV for the cell shown
# - Magnetic moment: 1.482 μB/f.u.
# - Space-group type: I-42d (122)
# - Raw formation energy: 0.474 eV/atom
data_NbVSb2
_chemical_formula_sum 'Nb4 V4 Sb8'
_space_group_name_H-M_alt 'P 1'
_space_group_IT_number 1
_cell_length_a 7.576
_cell_length_b 7.576
_cell_length_c 6.125
_cell_angle_alpha 90.00
_cell_angle_beta 90.00
_cell_angle_gamma 90.00
loop_
_space_group_symop_operation_xyz
'x,y,z'
loop_
_atom_site_label
_atom_site_type_symbol
_atom_site_fract_x
_atom_site_fract_y
_atom_site_fract_z
_atom_site_occupancy
Nb1 Nb 0.000 0.000 0.000 1
Nb2 Nb 0.000 0.500 0.250 1
Nb3 Nb 0.500 0.000 0.750 1
Nb4 Nb 0.500 0.500 0.500 1
V1 V 0.000 0.000 0.500 1
V2 V 0.000 0.500 0.750 1
V3 V 0.500 0.000 0.250 1
V4 V 0.500 0.500 0.000 1
Sb1 Sb 0.238 0.250 0.625 1
Sb2 Sb 0.250 0.738 0.875 1
Sb3 Sb 0.250 0.762 0.375 1
Sb4 Sb 0.262 0.250 0.125 1
Sb5 Sb 0.738 0.750 0.125 1
Sb6 Sb 0.750 0.238 0.375 1
Sb7 Sb 0.750 0.262 0.875 1
Sb8 Sb 0.762 0.750 0.625 1



Entry 7:
# PBE-GGA Li5TbTl4, optimized geometry
# - Energy of formation: -0.233 eV/atom
# - Fermi-level density of states: 4.91 states/eV/f.u.
# - Energy: -25.998 eV for the cell shown
# - Magnetic moment: 0.000 μB/f.u.
# - Space-group type: C2/m (12)
data_Li5TbTl4
_chemical_formula_sum 'Li5 Tb1 Tl4'
_space_group_name_H-M_alt 'P 1'
_space_group_IT_number 1
_cell_length_a 7.609
_cell_length_b 7.609
_cell_length_c 6.521
_cell_angle_alpha 103.90
_cell_angle_beta 103.90
_cell_angle_gamma 37.01
loop_
_space_group_symop_operation_xyz
'x,y,z'
loop_
_atom_site_label
_atom_site_type_symbol
_atom_site_fract_x
_atom_site_fract_y
_atom_site_fract_z
_atom_site_occupancy
Li1 Li 0.000 0.000 0.000 1
Li2 Li 0.218 0.218 0.336 1
Li3 Li 0.396 0.396 0.136 1
Li4 Li 0.604 0.604 0.864 1
Li5 Li 0.782 0.782 0.664 1
Tb1 Tb 0.000 0.000 0.500 1
Tl1 Tl 0.202 0.202 0.833 1
Tl2 Tl 0.402 0.402 0.685 1
Tl3 Tl 0.598 0.598 0.315 1
Tl4 Tl 0.798 0.798 0.167 1



Entry 8:
# PBE-GGA CaTlBr2, optimized geometry
# - Energy relative to the lowest polymorph listed for this composition: 0.601 eV/f.u.
# - Fermi-level density of states: 1.21 states/eV/f.u.
# - Energy: -24.931 eV for the cell shown
# - Magnetic moment: 0.000 μB/f.u.
# - Space-group type: Immm (71)
# - Raw formation energy: -1.188 eV/atom
data_CaTlBr2
_chemical_formula_sum 'Ca2 Tl2 Br4'
_space_group_name_H-M_alt 'P 1'
_space_group_IT_number 1
_cell_length_a 4.200
_cell_length_b 5.963
_cell_length_c 11.357
_cell_angle_alpha 90.00
_cell_angle_beta 90.00
_cell_angle_gamma 90.00
loop_
_space_group_symop_operation_xyz
'x,y,z'
loop_
_atom_site_label
_atom_site_type_symbol
_atom_site_fract_x
_atom_site_fract_y
_atom_site_fract_z
_atom_site_occupancy
Ca1 Ca 0.000 0.000 0.000 1
Ca2 Ca 0.500 0.500 0.500 1
Tl1 Tl 0.000 0.000 0.500 1
Tl2 Tl 0.500 0.500 0.000 1
Br1 Br 0.000 0.500 0.330 1
Br2 Br 0.000 0.500 0.670 1
Br3 Br 0.500 0.000 0.170 1
Br4 Br 0.500 0.000 0.830 1



Entry 9:
# PBE-GGA CsZnSn3, optimized geometry
# - Energy relative to the lowest polymorph listed for this composition: 0.390 eV/f.u.
# - Energy of formation: -0.056 eV/atom
# - Fermi-level density of states: 0.95 states/eV/f.u.
# - Energy: -28.831 eV for the cell shown
# - Magnetic moment: 0.000 μB/f.u.
# - Space-group type: P1 (1)
data_CsZnSn3
_chemical_formula_sum 'Cs2 Zn2 Sn6'
_space_group_name_H-M_alt 'P 1'
_space_group_IT_number 1
_cell_length_a 6.903
_cell_length_b 6.983
_cell_length_c 7.633
_cell_angle_alpha 90.02
_cell_angle_beta 90.01
_cell_angle_gamma 96.33
loop_
_space_group_symop_operation_xyz
'x,y,z'
loop_
_atom_site_label
_atom_site_type_symbol
_atom_site_fract_x
_atom_site_fract_y
_atom_site_fract_z
_atom_site_occupancy
Cs1 Cs 0.000 0.000 0.000 1
Cs2 Cs 0.500 0.500 0.244 1
Zn1 Zn 0.038 0.281 0.484 1
Zn2 Zn 0.537 0.781 0.759 1
Sn1 Sn 0.230 0.503 0.754 1
Sn2 Sn 0.294 0.006 0.473 1
Sn3 Sn 0.497 0.161 0.808 1
Sn4 Sn 0.731 0.003 0.490 1
Sn5 Sn 0.794 0.506 0.770 1
Sn6 Sn 0.998 0.661 0.436 1



Entry 10:
# PBE-GGA IrW2Br, optimized geometry
# - Energy relative to the lowest polymorph listed for this composition: 1.567 eV/f.u.
# - Fermi-level density of states: 4.00 states/eV/f.u.
# - Energy: -65.823 eV for the cell shown
# - Magnetic moment: 0.000 μB/f.u.
# - Space-group type: Cmmm (65)
# - Raw formation energy: 0.882 eV/atom
data_IrW2Br
_chemical_formula_sum 'Ir2 W4 Br2'
_space_group_name_H-M_alt 'P 1'
_space_group_IT_number 1
_cell_length_a 2.950
_cell_length_b 4.867
_cell_length_c 9.481
_cell_angle_alpha 90.00
_cell_angle_beta 90.00
_cell_angle_gamma 90.00
loop_
_space_group_symop_operation_xyz
'x,y,z'
loop_
_atom_site_label
_atom_site_type_symbol
_atom_site_fract_x
_atom_site_fract_y
_atom_site_fract_z
_atom_site_occupancy
Ir1 Ir 0.000 0.000 0.000 1
Ir2 Ir 0.500 0.500 0.000 1
W1 W 0.000 0.500 0.237 1
W2 W 0.000 0.500 0.763 1
W3 W 0.500 0.000 0.237 1
W4 W 0.500 0.000 0.763 1
Br1 Br 0.000 0.000 0.500 1
Br2 Br 0.500 0.500 0.500 1



Entry 11:
# PBE-GGA LiLa2PuSe5, optimized geometry
# - Fermi-level density of states: 14.06 states/eV/f.u.
# - Energy: -117.869 eV for the cell shown
# - Magnetic moment: 5.002 μB/f.u.
# - Space-group type: Cmc2_1 (36)
# - Raw formation energy: -1.712 eV/atom
data_LiLa2PuSe5
_chemical_formula_sum 'Li2 La4 Pu2 Se10'
_space_group_name_H-M_alt 'P 1'
_space_group_IT_number 1
_cell_length_a 8.986
_cell_length_b 8.986
_cell_length_c 12.537
_cell_angle_alpha 90.00
_cell_angle_beta 90.00
_cell_angle_gamma 152.74
loop_
_space_group_symop_operation_xyz
'x,y,z'
loop_
_atom_site_label
_atom_site_type_symbol
_atom_site_fract_x
_atom_site_fract_y
_atom_site_fract_z
_atom_site_occupancy
Li1 Li 0.018 0.982 0.500 1
Li2 Li 0.982 0.018 0.000 1
La1 La 0.376 0.624 0.322 1
La2 La 0.391 0.609 0.706 1
La3 La 0.609 0.391 0.206 1
La4 La 0.624 0.376 0.822 1
Pu1 Pu 0.301 0.699 0.025 1
Pu2 Pu 0.699 0.301 0.525 1
Se1 Se 0.000 0.000 0.302 1
Se2 Se 0.000 0.000 0.802 1
Se3 Se 0.136 0.864 0.021 1
Se4 Se 0.192 0.808 0.368 1
Se5 Se 0.211 0.789 0.682 1
Se6 Se 0.454 0.546 0.091 1
Se7 Se 0.546 0.454 0.591 1
Se8 Se 0.789 0.211 0.182 1
Se9 Se 0.808 0.192 0.868 1
Se10 Se 0.864 0.136 0.521 1



Entry 12:
# PBE-GGA LaHgN2, optimized geometry
# - Fermi-level density of states: 2.12 states/eV/f.u.
# - Energy: -67.478 eV for the cell shown
# - Magnetic moment: 1.000 μB/f.u.
# - Space-group type: R-3m (166)
# - Raw formation energy: -0.153 eV/atom
data_LaHgN2
_chemical_formula_sum 'La3 Hg3 N6'
_space_group_name_H-M_alt 'P 1'
_space_group_IT_number 1
_cell_length_a 3.925
_cell_length_b 3.925
_cell_length_c 18.941
_cell_angle_alpha 90.00
_cell_angle_beta 90.00
_cell_angle_gamma 120.00
loop_
_space_group_symop_operation_xyz
'x,y,z'
loop_
_atom_site_label
_atom_site_type_symbol
_atom_site_fract_x
_atom_site_fract_y
_atom_site_fract_z
_atom_site_occupancy
La1 La 0.000 0.000 0.000 1
La2 La 0.333 0.667 0.667 1
La3 La 0.667 0.333 0.333 1
Hg1 Hg 0.000 0.000 0.500 1
Hg2 Hg 0.333 0.667 0.167 1
Hg3 Hg 0.667 0.333 0.833 1
N1 N 0.000 0.000 0.393 1
N2 N 0.000 0.000 0.607 1
N3 N 0.333 0.667 0.060 1
N4 N 0.333 0.667 0.274 1
N5 N 0.667 0.333 0.726 1
N6 N 0.667 0.333 0.940 1